# 1
Density functional theory data (GGA-PBE) for crystalline Tb4InAg3 at its relaxed geometry.

Geometry as extended XYZ:
```
8
Lattice="3.704 0.000 0.000 0.000 4.849 0.000 0.000 0.000 11.466" Properties=species:S:1:pos:R:3 pbc="T T T"
Tb 0.000 0.000 0.000
Tb 0.000 2.424 3.231
Tb 1.852 0.000 5.532
Tb 1.852 2.424 9.127
In 0.000 0.000 8.230
Ag 0.000 2.424 6.407
Ag 1.852 0.000 2.487
Ag 1.852 2.424 0.746
```

Space group = No. 25
N(E_F) = 7.7 states/eV/f.u.
Electronic total energy = -4.035 eV/atom
Calculated formation energy = -2.5 eV/f.u.
Distance to the lowest polymorph of the same formula = 0.044 eV/atom
Mass density = 8.66 Mg/m³

# 2
Density functional theory data (GGA-PBE) for crystalline Tb3In3Ag2 at its relaxed geometry.

Geometry as extended XYZ:
```
8
Lattice="7.821 0.000 0.000 -3.910 6.773 0.000 0.000 0.000 3.797" Properties=species:S:1:pos:R:3 pbc="T T T"
Tb -1.573 2.724 0.000
Tb 3.146 0.000 0.000
Tb 2.338 4.049 0.000
In -2.977 5.157 1.899
In 0.933 1.616 1.899
In 5.955 0.000 1.899
Ag 0.000 4.515 1.899
Ag 3.910 2.258 1.899
```

Space group = No. 189
N(E_F) = 5.0 states/eV/f.u.
Electronic total energy = -3.876 eV/atom
Calculated formation energy = -3.2 eV/f.u.
Distance to the lowest polymorph of the same formula = 0.000 eV/atom
Mass density = 8.56 Mg/m³

# 3
Density functional theory data (GGA-PBE) for crystalline Tb7In2Ag2 at its relaxed geometry.

Geometry as extended XYZ:
```
11
Lattice="4.071 -5.620 0.000 4.071 5.620 0.000 0.000 0.000 7.327" Properties=species:S:1:pos:R:3 pbc="T T T"
Tb 0.000 0.000 0.000
Tb 2.035 2.810 1.976
Tb 2.035 2.810 5.351
Tb 2.035 -2.810 1.976
Tb 2.035 -2.810 5.351
Tb 4.071 0.000 1.866
Tb 4.071 0.000 5.460
In 1.418 0.000 3.663
In 6.724 0.000 3.663
Ag 4.071 2.346 0.000
Ag 4.071 -2.346 0.000
```

Space group = No. 65
N(E_F) = 12.8 states/eV/f.u.
Electronic total energy = -3.992 eV/atom
Calculated formation energy = -0.3 eV/f.u.
Mass density = 7.72 Mg/m³

# 4
Density functional theory data (GGA-PBE) for crystalline Tb4InAg3 at its relaxed geometry.

Geometry as extended XYZ:
```
8
Lattice="2.606 1.504 8.522 -2.606 1.504 8.522 0.000 -3.009 8.522" Properties=species:S:1:pos:R:3 pbc="T T T"
Tb 0.000 0.000 3.101
Tb 0.000 0.000 9.509
Tb 0.000 0.000 16.057
Tb 0.000 0.000 22.466
In 0.000 0.000 12.783
Ag 0.000 0.000 0.000
Ag 0.000 0.000 6.290
Ag 0.000 0.000 19.276
```

Space group = No. 166
N(E_F) = 5.4 states/eV/f.u.
Electronic total energy = -4.079 eV/atom
Calculated formation energy = -2.8 eV/f.u.
Distance to the lowest polymorph of the same formula = 0.000 eV/atom
Mass density = 8.90 Mg/m³

# 5
Density functional theory data (GGA-PBE) for crystalline Tb6InAg2 at its relaxed geometry.

Geometry as extended XYZ:
```
18
Lattice="-4.946 5.014 5.140 4.946 -5.014 5.140 4.946 5.014 -5.140" Properties=species:S:1:pos:R:3 pbc="T T T"
Tb 4.946 -2.805 3.316
Tb 2.936 0.000 2.508
Tb 6.957 0.000 2.508
Tb 3.148 2.725 0.000
Tb 6.745 2.725 0.000
Tb 0.000 2.209 1.824
Tb 4.946 2.805 3.316
Tb -1.799 2.290 5.140
Tb 1.799 2.290 5.140
Tb -2.010 5.014 2.632
Tb 2.010 5.014 2.632
Tb 0.000 7.820 1.824
In 4.946 0.000 0.000
In 0.000 5.014 0.000
Ag 1.430 0.000 0.000
Ag 8.463 0.000 0.000
Ag 0.000 0.000 3.773
Ag 0.000 0.000 6.506
```

Space group = No. 71
N(E_F) = 9.3 states/eV/f.u.
Electronic total energy = -4.242 eV/atom
Calculated formation energy = -2.0 eV/f.u.
Mass density = 8.36 Mg/m³

# 6
Density functional theory data (GGA-PBE) for crystalline TbIn2Ag at its relaxed geometry.

Geometry as extended XYZ:
```
8
Lattice="4.657 0.000 0.000 0.000 4.657 0.000 0.000 0.000 8.862" Properties=species:S:1:pos:R:3 pbc="T T T"
Tb 1.164 1.164 2.059
Tb 3.493 3.493 6.803
In 1.164 1.164 6.985
In 1.164 3.493 4.431
In 3.493 1.164 4.431
In 3.493 3.493 1.876
Ag 1.164 3.493 0.000
Ag 3.493 1.164 0.000
```

Space group = No. 129
N(E_F) = 2.5 states/eV/f.u.
Electronic total energy = -3.532 eV/atom
Calculated formation energy = -1.2 eV/f.u.
Mass density = 8.58 Mg/m³

- electronic total energy of number 4 (Tb4InAg3)?
  -4.079 eV/atom

- Which value of calculated formation energy does entry 1 give?
  -2.5 eV/f.u.